No. 1
# Li2CCl

Crystalline Li2CCl at its relaxed geometry (PBE-GGA, the Alexandria database).

abc: 4.4066 4.4066 4.4066
angles: 60.00 60.00 60.00
Positions (direct):
Li 0.2500 0.2500 0.2500
Li 0.7500 0.7500 0.7500
Cl 0.5000 0.5000 0.5000
C 0.0000 0.0000 0.0000

Output
crystal system: cubic
excess energy over the best structure of this formula in the dataset: 4.05 kcal/mol of atoms
M_tot: 0.75 μB/atom
ΔE_f (raw): 180 kJ/mol of formula units
energy: -3.258 eV/atom


No. 2
# HgGeBr2

Crystalline HgGeBr2 at its relaxed geometry (PBE-GGA, the Alexandria database).

abc: 4.0345 4.0345 10.6037
angles: 79.00 79.00 60.00
Positions (direct):
Ge 0.6681 0.6681 0.0000
Br 0.0521 0.0521 0.8429
Br 0.2804 0.2804 0.1571
Hg 0.4994 0.4994 0.5000

Output
crystal system: monoclinic
excess energy over the best structure of this formula in the dataset: 0.00 kcal/mol of atoms
M_tot: 0.00 μB/atom
ΔE_f (raw): -152 kJ/mol of formula units
energy: -2.461 eV/atom


No. 3
# TaTlP2

Crystalline TaTlP2 at its relaxed geometry (PBE-GGA, the Alexandria database).

abc: 4.5633 4.5633 4.5633
angles: 113.79 113.79 101.14
Positions (direct):
P 0.0000 0.0000 0.0000
P 0.5000 0.5000 0.0000
Tl 0.7500 0.2500 0.5000
Ta 0.2500 0.7500 0.5000

Output
crystal system: tetragonal
excess energy over the best structure of this formula in the dataset: 14.89 kcal/mol of atoms
M_tot: 0.00 μB/atom
ΔE_f: 0.444 eV per atom
energy: -5.816 eV/atom


No. 4
# AcZnSbPd6

Crystalline AcZnSbPd6 at its relaxed geometry (PBE-GGA, the Alexandria database).

abc: 7.1063 9.7324 8.2135
angles: 126.33 115.63 90.00
Positions (direct):
Ac 0.8412 0.5912 0.6824
Ac 0.1588 0.4088 0.3176
Sb 0.5000 0.0000 0.0000
Sb 0.5000 0.5000 0.0000
Pd 0.9054 0.1554 0.8108
Pd 0.0715 0.8854 0.7400
Pd 0.4235 0.6735 0.8470
Pd 0.0715 0.3547 0.7400
Pd 0.9285 0.1146 0.2600
Pd 0.6685 0.8854 0.7400
Pd 0.5765 0.3265 0.1530
Pd 0.6685 0.3547 0.7400
Pd 0.0946 0.8446 0.1892
Pd 0.3315 0.6453 0.2600
Pd 0.9285 0.6453 0.2600
Pd 0.3315 0.1146 0.2600
Zn 0.5000 0.0000 0.5000
Zn 0.0000 0.0000 0.5000

Output
crystal system: orthorhombic
M_tot: 0.00 μB/atom
ΔE_f (raw): -239 kJ/mol of formula units
energy: -4.793 eV/atom


No. 5
# Na2YIrO6

Crystalline Na2YIrO6 at its relaxed geometry (PBE-GGA, the Alexandria database).

abc: 5.6413 5.7470 8.0649
angles: 90.00 90.38 90.00
Positions (direct):
Na 0.0084 0.9625 0.2503
Na 0.4916 0.4625 0.2497
Na 0.9916 0.0375 0.7497
Na 0.5084 0.5375 0.7503
Ir 0.0000 0.5000 0.0000
Ir 0.5000 0.0000 0.5000
Y 0.5000 0.0000 0.0000
Y 0.0000 0.5000 0.5000
O 0.2253 0.1864 0.4571
O 0.6813 0.2743 0.5474
O 0.7747 0.8136 0.5429
O 0.1813 0.2257 0.0474
O 0.0859 0.4755 0.7712
O 0.2747 0.6864 0.0429
O 0.7253 0.3136 0.9571
O 0.3187 0.7257 0.4526
O 0.5859 0.0245 0.2712
O 0.9141 0.5245 0.2288
O 0.4141 0.9755 0.7288
O 0.8187 0.7743 0.9526

Output
crystal system: monoclinic
M_tot: 0.00 μB/atom
ΔE_f (raw): -1596 kJ/mol of formula units
energy: -6.425 eV/atom


No. 6
# Ho6ZnTe5

Crystalline Ho6ZnTe5 at its relaxed geometry (PBE-GGA, the Alexandria database).

abc: 7.4931 7.4931 7.4663
angles: 99.59 99.59 119.84
Positions (direct):
Te 0.3362 0.6638 0.0000
Te 0.1783 0.8217 0.5000
Te 0.8217 0.1783 0.5000
Te 0.6638 0.3362 0.0000
Te 0.5000 0.5000 0.5000
Ho 0.2244 0.2244 0.7599
Ho 0.0755 0.3825 0.2303
Ho 0.9245 0.6175 0.7697
Ho 0.6175 0.9245 0.7697
Ho 0.7756 0.7756 0.2401
Ho 0.3825 0.0755 0.2303
Zn 0.0000 0.0000 0.0000

Output
crystal system: monoclinic
M_tot: 0.00 μB/atom
ΔE_f (raw): -1324 kJ/mol of formula units
energy: -4.847 eV/atom


No. 7
# BaSrLiTl2

Crystalline BaSrLiTl2 at its relaxed geometry (PBE-GGA, the Alexandria database).

abc: 5.7911 5.7911 6.6225
angles: 90.00 90.00 120.00
Positions (direct):
Li 0.3333 0.6667 0.6755
Tl 0.3333 0.6667 0.1552
Tl 0.6667 0.3333 0.8686
Ba 0.0000 0.0000 0.9283
Sr 0.6667 0.3333 0.3724

Output
crystal system: trigonal
M_tot: 0.00 μB/atom
ΔE_f: -0.223 eV per atom
energy: -2.273 eV/atom


No. 8
# CaZn4Hg

Crystalline CaZn4Hg at its relaxed geometry (PBE-GGA, the Alexandria database).

abc: 5.4604 5.4604 5.4604
angles: 60.00 60.00 60.00
Positions (direct):
Zn 0.3752 0.3752 0.8744
Zn 0.3752 0.3752 0.3752
Zn 0.3752 0.8744 0.3752
Zn 0.8744 0.3752 0.3752
Hg 0.0000 0.0000 0.0000
Ca 0.7500 0.7500 0.7500

Output
crystal system: cubic
M_tot: 0.00 μB/atom
ΔE_f: -0.130 eV per atom
energy: -1.363 eV/atom


No. 9
# LaAs2Rh

Crystalline LaAs2Rh at its relaxed geometry (PBE-GGA, the Alexandria database).

abc: 4.4054 4.4054 4.2148
angles: 90.00 90.00 90.00
Positions (direct):
La 0.5000 0.0000 0.5000
Rh 0.0000 0.5000 0.5000
As 0.0000 0.0000 0.0000
As 0.5000 0.5000 0.0000

Output
crystal system: tetragonal
M_tot: 0.00 μB/atom
ΔE_f: -0.539 eV per atom
energy: -5.934 eV/atom


No. 10
# ScInHg

Crystalline ScInHg at its relaxed geometry (PBE-GGA, the Alexandria database).

abc: 6.4769 6.4765 3.3737
angles: 74.91 74.90 30.19
Positions (direct):
In 0.3316 0.3316 0.6684
Sc 0.6618 0.6618 0.3382
Hg 0.0066 0.0066 0.9934

Output
crystal system: tetragonal
excess energy over the best structure of this formula in the dataset: 1.35 kcal/mol of atoms
M_tot: 0.13 μB/atom
ΔE_f: -0.262 eV per atom
energy: -3.385 eV/atom


No. 11
# MgGe2Pt4

Crystalline MgGe2Pt4 at its relaxed geometry (PBE-GGA, the Alexandria database).

abc: 4.2020 7.0501 15.7928
angles: 90.00 90.00 90.00
Positions (direct):
Ge 0.7500 0.0669 0.1984
Ge 0.7500 0.2512 0.5027
Ge 0.2500 0.9331 0.8016
Ge 0.7500 0.4331 0.6984
Ge 0.7500 0.2488 0.0027
Ge 0.2500 0.5669 0.3016
Ge 0.2500 0.7512 0.9973
Ge 0.2500 0.7488 0.4973
Pt 0.2500 0.7012 0.6632
Pt 0.2500 0.4192 0.0530
Pt 0.2500 0.7988 0.1632
Pt 0.7500 0.7323 0.7857
Pt 0.2500 0.0808 0.5530
Pt 0.7500 0.5837 0.5546
Pt 0.7500 0.2012 0.8368
Pt 0.7500 0.5808 0.9470
Pt 0.7500 0.9192 0.4470
Pt 0.2500 0.0837 0.9454
Pt 0.7500 0.2988 0.3368
Pt 0.2500 0.4163 0.4454
Pt 0.7500 0.7677 0.2857
Pt 0.2500 0.2677 0.2143
Pt 0.2500 0.2323 0.7143
Pt 0.7500 0.9163 0.0546
Mg 0.7500 0.5175 0.1557
Mg 0.2500 0.0175 0.3443
Mg 0.2500 0.4825 0.8443
Mg 0.7500 0.9825 0.6557

Output
crystal system: orthorhombic
M_tot: 0.00 μB/atom
ΔE_f: -0.518 eV per atom
energy: -5.517 eV/atom


No. 12
# SrZrCl2

Crystalline SrZrCl2 at its relaxed geometry (PBE-GGA, the Alexandria database).

abc: 5.4792 5.4792 5.4792
angles: 60.00 60.00 60.00
Positions (direct):
Sr 0.5000 0.5000 0.5000
Zr 0.7500 0.7500 0.7500
Cl 0.0000 0.0000 0.0000
Cl 0.2500 0.2500 0.2500

Output
crystal system: cubic
excess energy over the best structure of this formula in the dataset: 22.70 kcal/mol of atoms
M_tot: 0.99 μB/atom
ΔE_f (raw): -54 kJ/mol of formula units
energy: -3.622 eV/atom


No. 13
# AlZnP2Br

Crystalline AlZnP2Br at its relaxed geometry (PBE-GGA, the Alexandria database).

abc: 4.6246 5.3722 4.6246
angles: 90.00 90.00 90.00
Positions (direct):
Al 0.0000 0.0000 0.0000
P 0.0000 0.0000 0.5000
P 0.5000 0.0000 0.0000
Br 0.5000 0.5000 0.5000
Zn 0.0000 0.5000 0.0000

Output
crystal system: tetragonal
excess energy over the best structure of this formula in the dataset: 0.00 kcal/mol of atoms
M_tot: 0.25 μB/atom
ΔE_f (raw): 286 kJ/mol of formula units
energy: -2.910 eV/atom